## CsZnPO4 (PBEsol)

Data for CsZnPO4 after structural relaxation.

Results
E above lowest polymorph: 0.0 meV/atom

Unit cell a=9.1851 b=5.4442 c=18.3888 alpha=90.00 beta=90.35 gamma=90.00
Space group P2_1/c (No. 14)
Symmetry-distinct sites (fractional):
Cs 0.1893 0.2143 0.2509 (multiplicity 4)
Cs 0.2913 0.2437 0.4963 (multiplicity 4)
Zn 0.0844 0.7488 0.5880 (multiplicity 4)
Zn 0.4104 0.7091 0.3330 (multiplicity 4)
P 0.0810 0.7483 0.9035 (multiplicity 4)
P 0.4066 0.7109 0.1548 (multiplicity 4)
O 0.0130 0.0453 0.6338 (multiplicity 4)
O 0.0381 0.5026 0.3679 (multiplicity 4)
O 0.0493 0.7482 0.4850 (multiplicity 4)
O 0.2440 0.6944 0.8908 (multiplicity 4)
O 0.2911 0.6930 0.6000 (multiplicity 4)
O 0.3452 0.7347 0.2327 (multiplicity 4)
O 0.4393 0.0621 0.6367 (multiplicity 4)
O 0.4527 0.1343 0.8544 (multiplicity 4)

***

## CsZnPO4 (PBEsol)

Data for CsZnPO4 after structural relaxation.

Results
E above lowest polymorph: 18.0 meV/atom

Unit cell a=8.9285 b=5.5282 c=9.6155 alpha=90.00 beta=90.00 gamma=90.00
Space group Pnma (No. 62)
Symmetry-distinct sites (fractional):
Cs 0.0169 0.2500 0.1967 (multiplicity 4)
Zn 0.1657 0.7500 0.4031 (multiplicity 4)
P 0.2173 0.2500 0.5675 (multiplicity 4)
O 0.0487 0.2500 0.5957 (multiplicity 4)
O 0.1915 0.7500 0.2033 (multiplicity 4)
O 0.2341 0.5243 0.9823 (multiplicity 8)

***

## CsZr2P3O12 (PBEsol)

Data for CsZr2P3O12 after structural relaxation.

Unit cell a=8.6400 b=8.6400 c=24.9700 alpha=90.00 beta=90.00 gamma=120.00
Space group R-3c (No. 167, hexagonal axes)
Symmetry-distinct sites (fractional):
Cs 0.0000 0.0000 0.0000 (multiplicity 6)
Zr 0.0000 0.0000 0.1525 (multiplicity 12)
P 0.0000 0.2823 0.2500 (multiplicity 18)
O 0.0263 0.2039 0.8972 (multiplicity 36)
O 0.0647 0.2162 0.2024 (multiplicity 36)

***

Values of ΔE_f (raw), in order: -1438, -1426, -4809, all in kJ/mol of formula units.
Values of energy, in order: -353.76, -176.38, -895.95, all in eV for the cell shown.